Entry 1:
A relaxed structure of Tm3Be2Fe7, computed with PBE.

Structure (CIF):
```
data_Tm3Be2Fe7
_chemical_formula_sum 'Tm9 Be6 Fe21'
_space_group_name_H-M_alt 'R -3 m'
_space_group_IT_number 166
_space_group_name_Hall '-R 3 2"'
_cell_length_a 5.0360
_cell_length_b 5.0360
_cell_length_c 23.0568
_cell_angle_alpha 90.00
_cell_angle_beta 90.00
_cell_angle_gamma 120.00
loop_
_atom_site_label
_atom_site_type_symbol
_atom_site_fract_x
_atom_site_fract_y
_atom_site_fract_z
Tm1 Tm 0.0000 0.0000 0.0000
Tm2 Tm 0.0000 0.0000 0.1409
Be1 Be 0.0000 0.0000 0.3333
Fe1 Fe 0.0000 0.0000 0.5000
Fe2 Fe 0.9997 0.4998 0.0771
```

***

Entry 2:
A relaxed structure of TmBeFe, computed with PBE.

Structure (CIF):
```
data_TmBeFe
_chemical_formula_sum 'Tm1 Be1 Fe1'
_space_group_name_H-M_alt 'P -6 m 2'
_space_group_IT_number 187
_space_group_name_Hall 'P -6 2'
_cell_length_a 3.8068
_cell_length_b 3.8068
_cell_length_c 3.7825
_cell_angle_alpha 90.00
_cell_angle_beta 90.00
_cell_angle_gamma 120.00
loop_
_atom_site_label
_atom_site_type_symbol
_atom_site_fract_x
_atom_site_fract_y
_atom_site_fract_z
Tm1 Tm 0.0000 0.0000 0.0000
Be1 Be 0.6667 0.3333 0.5000
Fe1 Fe 0.3333 0.6667 0.5000
```

***

no.,E_form (eV/atom)
1,-0.17
2,0.03